Record 1
Pm2PaSbO8 | PBE | relaxed

The value obtained for the mass density is 6.9 g/cm3. The energy relative to the elements, uncorrected is -2.873 eV/atom.

It has space group Cmmm (No. 65), with a = 7.1376 Å, b = 7.4010 Å, c = 6.9869 Å, α = 90.00°, β = 90.00° and γ = 90.00°. Symmetry generates all atoms from Pm at (0.0000, 0.0000, 0.2406), Pa at (0.0000, 0.5000, 0.5000), Sb at (0.0000, 0.5000, 0.0000), O at (0.0000, 0.3227, 0.2314), O at (0.2067, 0.0000, 0.5000) and O at (0.2236, 0.0000, 0.0000).

Record 2
PmScPaO6 | PBE | relaxed

The value obtained for the mass density is 6.5 g/cm3. The energy relative to the elements, uncorrected is -3.153 eV/atom.

It has space group P312 (No. 149), with a = 5.6834 Å, b = 5.6834 Å, c = 4.7181 Å, α = 90.00°, β = 90.00° and γ = 120.00°. Symmetry generates all atoms from Pm at (0.0000, 0.0000, 0.0000), Sc at (0.3333, 0.6667, 0.0000), Pa at (0.6667, 0.3333, 0.5000) and O at (0.0015, 0.3608, 0.2417).

Record 3
Pm2PaSiO8 | PBE | relaxed

The value obtained for the mass density is 6.8 g/cm3. The energy relative to the elements, uncorrected is -2.976 eV/atom.

It has space group P-1 (No. 2), with a = 3.9643 Å, b = 5.4298 Å, c = 7.8288 Å, α = 80.94°, β = 86.88° and γ = 83.49°. Symmetry generates all atoms from Pm at (0.0242, 0.0230, 0.2461), Pa at (0.5000, 0.5000, 0.5000), Si at (0.5000, 0.5000, 0.0000), O at (0.0314, 0.7293, 0.5325), O at (0.1733, 0.7244, 0.0250), O at (0.4421, 0.3481, 0.2036) and O at (0.4483, 0.1937, 0.7012).

Record 4
PmSmPaO6 | PBE | relaxed

The value obtained for the mass density is 7.2 g/cm3. The energy relative to the elements, uncorrected is -3.124 eV/atom.

It has space group P312 (No. 149), with a = 5.9512 Å, b = 5.9512 Å, c = 4.6832 Å, α = 90.00°, β = 90.00° and γ = 120.00°. Symmetry generates all atoms from Pm at (0.0000, 0.0000, 0.0000), Sm at (0.6667, 0.3333, 0.0000), Pa at (0.3333, 0.6667, 0.5000) and O at (0.0206, 0.3556, 0.2485).

Record 5
PmPaSn2O8 | PBE | relaxed

The value obtained for the mass density is 6.6 g/cm3. The energy relative to the elements, uncorrected is -2.442 eV/atom.

It has space group I-4m2 (No. 119), with a = 7.2995 Å, b = 7.2995 Å, c = 6.9877 Å, α = 90.00°, β = 90.00° and γ = 90.00°. Symmetry generates all atoms from Pm at (0.0000, 0.0000, 0.0000), Pa at (0.0000, 0.5000, 0.7500), Sn at (0.0000, 0.0000, 0.5000), Sn at (0.0000, 0.5000, 0.2500), O at (0.0000, 0.1964, 0.6937) and O at (0.0000, 0.3190, 0.0412).

Record 6
Pm2PaSnO8 | PBE | relaxed

The value obtained for the mass density is 7.7 g/cm3. The energy relative to the elements, uncorrected is -2.805 eV/atom.

It has space group P2/m (No. 10), with a = 5.5117 Å, b = 3.7737 Å, c = 7.9792 Å, α = 90.00°, β = 95.57° and γ = 90.00°. Symmetry generates all atoms from Pm at (0.0174, 0.0000, 0.2520), Pa at (0.5000, 0.5000, 0.0000), Sn at (0.5000, 0.5000, 0.5000), O at (0.2248, 0.5000, 0.7866), O at (0.2680, 0.0000, 0.0212), O at (0.2726, 0.0000, 0.5240) and O at (0.3060, 0.5000, 0.2696).

Record 7
SrPmPa2O8 | PBE | relaxed

The value obtained for the mass density is 8.1 g/cm3. The energy relative to the elements, uncorrected is -3.334 eV/atom.

It has space group I-4m2 (No. 119), with a = 5.5669 Å, b = 5.5669 Å, c = 10.8552 Å, α = 90.00°, β = 90.00° and γ = 90.00°. Symmetry generates all atoms from Sr at (0.0000, 0.0000, 0.0000), Pm at (0.0000, 0.5000, 0.2500), Pa at (0.0000, 0.0000, 0.5000), Pa at (0.0000, 0.5000, 0.7500) and O at (0.2252, 0.2438, 0.6275).

Record 8
Pm2PaTeO8 | PBE | relaxed

The value obtained for the mass density is 8.0 g/cm3. The energy relative to the elements, uncorrected is -2.710 eV/atom.

It has space group P2/m (No. 10), with a = 3.8118 Å, b = 7.6249 Å, c = 5.5149 Å, α = 90.00°, β = 90.70° and γ = 90.00°. Symmetry generates all atoms from Pm at (0.0000, 0.2466, 0.0000), Pa at (0.5000, 0.5000, 0.5000), Te at (0.5000, 0.0000, 0.5000), O at (0.0043, 0.5000, 0.2652), O at (0.0075, 0.0000, 0.2758) and O at (0.4945, 0.2438, 0.7316).

Record 9
PmPaTiO6 | PBE | relaxed

The value obtained for the mass density is 6.9 g/cm3. The energy relative to the elements, uncorrected is -3.260 eV/atom.

It has space group P312 (No. 149), with a = 5.5033 Å, b = 5.5033 Å, c = 4.7764 Å, α = 90.00°, β = 90.00° and γ = 120.00°. Symmetry generates all atoms from Pm at (0.0000, 0.0000, 0.0000), Pa at (0.6667, 0.3333, 0.5000), Ti at (0.3333, 0.6667, 0.0000) and O at (0.0180, 0.3790, 0.2357).

Record 10
PmPa2TlO8 | PBE | relaxed

The value obtained for the mass density is 9.4 g/cm3. The energy relative to the elements, uncorrected is -2.993 eV/atom.

It has space group I-4 (No. 82), with a = 5.4925 Å, b = 5.4925 Å, c = 10.9466 Å, α = 90.00°, β = 90.00° and γ = 90.00°. Symmetry generates all atoms from Pm at (0.0000, 0.0000, 0.0000), Pa at (0.0000, 0.0000, 0.5000), Pa at (0.0000, 0.5000, 0.2500), Tl at (0.0000, 0.5000, 0.7500), O at (0.2046, 0.7284, 0.3911) and O at (0.2360, 0.7461, 0.6400).

Record 11
PmTmPaO6 | PBE | relaxed

The value obtained for the mass density is 7.7 g/cm3. The energy relative to the elements, uncorrected is -3.191 eV/atom.

It has space group P312 (No. 149), with a = 5.8294 Å, b = 5.8294 Å, c = 4.6884 Å, α = 90.00°, β = 90.00° and γ = 120.00°. Symmetry generates all atoms from Pm at (0.0000, 0.0000, 0.0000), Tm at (0.3333, 0.6667, 0.0000), Pa at (0.6667, 0.3333, 0.5000) and O at (0.3569, 0.0095, 0.2455).